Entry 1:
DFT (PBE) results for crystalline Ac3La4Nd2 at its relaxed geometry.

Output
ΔE_f: 0.02 eV per atom
Relative energy among the computed polymorphs: 0.0000 eV per atom

Cell lengths 16.1890, 5.3745, 8.5431 Å; angles 90.00, 108.62, 90.00 degrees
Space group C2/m (No. 12)
Inequivalent atoms, fractional coordinates:
Ac: 0.0000 0.0000 0.0000 x2
Ac: 0.1133 0.0000 0.6671 x4
La: 0.0579 0.5000 0.3319 x4
La: 0.2213 0.0000 0.3323 x4
Nd: 0.1681 0.5000 0.9998 x4

---

Entry 2:
DFT (PBE) results for crystalline LiPa2Ga at its relaxed geometry.

Output
ΔE_f: 0.13 eV per atom

Cell lengths 3.0624, 3.0624, 34.4102 Å; angles 90.00, 90.00, 120.00 degrees
Space group R-3m (No. 166, hexagonal axes)
Inequivalent atoms, fractional coordinates:
Li: 0.0000 0.0000 0.0000 x3
Pa: 0.0000 0.0000 0.0917 x6
Ga: 0.0000 0.0000 0.5000 x3

---

Entry 3:
DFT (PBE) results for crystalline Tb2HoCdC at its relaxed geometry.

Output
ΔE_f: -0.29 eV per atom

Cell lengths 4.9766, 4.9766, 4.8676 Å; angles 90.00, 90.00, 90.00 degrees
Space group P4/mmm (No. 123)
Inequivalent atoms, fractional coordinates:
Tb: 0.0000 0.5000 0.0000 x2
Ho: 0.0000 0.0000 0.5000 x1
Cd: 0.5000 0.5000 0.5000 x1
C: 0.0000 0.0000 0.0000 x1

---

Entry 4:
DFT (PBE) results for crystalline KPCS2 at its relaxed geometry.

Output
Relative energy among the computed polymorphs: 0.0000 eV per atom
ΔE_f (raw): 839.8 meV per atom

Cell lengths 4.7454, 4.7454, 3.8952 Å; angles 90.00, 90.00, 90.00 degrees
Space group P4/mmm (No. 123)
Inequivalent atoms, fractional coordinates:
K: 0.0000 0.0000 0.0000 x1
P: 0.5000 0.5000 0.0000 x1
C: 0.5000 0.5000 0.5000 x1
S: 0.0000 0.5000 0.5000 x2